(1)
Entry from Alexandria via LeMat-Bulk: crystalline AcPr2Se3 at its relaxed geometry (PBE).

The space group is Immm (No. 71) and the conventional cell measures 4.3408, 6.1369 and 12.9801 Å, with angles of 90.00, 90.00 and 90.00 degrees. Symmetry generates all atoms from Ac at (0.0000, 0.0000, 0.0000), Pr at (0.0000, 0.0000, 0.3340), Se at (0.0000, 0.5000, 0.0000) and Se at (0.0000, 0.5000, 0.3279).

Its total magnetic moment is 0.000 μB per atom. The formation energy (no corrections) is -1.84 eV/atom. Its crystal system is orthorhombic. For the density of states at the Fermi level, the calculation gives 6.28 states/eV per cell.



(2)
Entry from Alexandria via LeMat-Bulk: crystalline AcPrSe2 at its relaxed geometry (PBE).

The space group is Fm-3m (No. 225) and the conventional cell measures 7.5373, 7.5373 and 7.5373 Å, with angles of 90.00, 90.00 and 90.00 degrees. Symmetry generates all atoms from Ac at (0.0000, 0.0000, 0.0000), Pr at (0.0000, 0.0000, 0.5000) and Se at (0.2500, 0.2500, 0.2500).

Its total magnetic moment is 0.000 μB per atom. The formation energy (no corrections) is -1.64 eV/atom. Its crystal system is cubic. For the density of states at the Fermi level, the calculation gives 10.75 states/eV per cell.



(3)
Entry from Alexandria via LeMat-Bulk: crystalline AcPrSe2 at its relaxed geometry (PBE).

The space group is P4/mmm (No. 123) and the conventional cell measures 5.3280, 5.3280 and 3.7736 Å, with angles of 90.00, 90.00 and 90.00 degrees. Symmetry generates all atoms from Ac at (0.0000, 0.0000, 0.0000), Pr at (0.5000, 0.5000, 0.0000) and Se at (0.0000, 0.5000, 0.5000).

Its total magnetic moment is 0.001 μB per atom. The formation energy (no corrections) is -1.63 eV/atom. Its crystal system is tetragonal. For the density of states at the Fermi level, the calculation gives 3.21 states/eV per cell.



(4)
Entry from Alexandria via LeMat-Bulk: crystalline AcPr2Sm3Se6 at its relaxed geometry (PBE).

The space group is C2/m (No. 12) and the conventional cell measures 7.3185, 12.7474 and 7.4186 Å, with angles of 90.00, 109.36 and 90.00 degrees. Symmetry generates all atoms from Ac at (0.0000, 0.0000, 0.0000), Pr at (0.0000, 0.3321, 0.0000), Sm at (0.0000, 0.1651, 0.5000), Sm at (0.0000, 0.5000, 0.5000), Se at (0.2426, 0.3308, 0.7369) and Se at (0.2475, 0.5000, 0.2601).

Its total magnetic moment is 0.000 μB per atom. The formation energy (no corrections) is -1.83 eV/atom. Its crystal system is monoclinic. For the density of states at the Fermi level, the calculation gives 11.91 states/eV per cell.